DFT (PBE) results for a relaxed CaPr2Mg crystal.

Structure (extended XYZ):
```
4
Lattice="-1.949 -3.387 -0.563 0.123 -0.716 3.881 -7.652 4.233 1.023" Properties=species:S:1:pos:R:3 pbc="T T T"
Pr -1.612 0.891 0.215
Pr -6.040 3.341 0.807
Ca -4.739 0.065 2.170
Mg -0.913 -2.052 1.659
```

Summary:
- Total moment: 0.0000 μB/atom
- E_form: -0.01 eV per atom
- E above lowest polymorph: 0 meV/atom
- Density of states at the Fermi level: 3.60 states/eV per cell

***

DFT (PBE) results for a relaxed Ho7ThSc2 crystal.

Structure (extended XYZ):
```
10
Lattice="5.462 0.000 0.000 0.000 8.839 -0.332 0.000 -4.284 7.738" Properties=species:S:1:pos:R:3 pbc="T T T"
Ho 2.731 2.362 0.369
Ho 2.731 2.193 7.038
Ho 0.000 -1.330 5.922
Ho 2.731 5.292 5.132
Ho 0.000 5.885 1.485
Ho 2.731 2.278 3.703
Ho 2.731 -0.736 2.275
Th 0.000 0.000 0.000
Sc 2.731 4.928 2.073
Sc 2.731 -0.373 5.334
```

Summary:
- Total moment: 0.0000 μB/atom
- E_form: 0.70 eV per atom
- Density of states at the Fermi level: 15.33 states/eV per cell

***

DFT (PBE) results for a relaxed K3La2ThTe6 crystal.

Structure (extended XYZ):
```
12
Lattice="8.024 -0.001 0.000 -4.011 6.950 0.000 -1.338 -2.318 8.293" Properties=species:S:1:pos:R:3 pbc="T T T"
La 0.004 4.631 0.000
La 4.009 2.318 0.000
K 1.337 2.316 4.146
K -2.648 4.618 4.146
K 5.323 0.014 4.146
Te -0.034 -0.060 6.481
Te 0.066 4.633 6.484
Te 3.980 2.372 6.484
Te 2.709 4.691 1.812
Te 2.609 -0.001 1.808
Te -1.305 2.260 1.808
Th 0.000 0.000 0.000
```

Summary:
- Total moment: 0.0000 μB/atom
- Formation energy (no corrections): -1385 meV/atom
- Density of states at the Fermi level: 5.48 states/eV per cell